A relaxed structure of LaCrNiO6, computed with GGA+U.

Properties
SG: P1
E_tot: -6.5734 eV per atom
volume: 123 Å³ per cell

Cell and atoms, written as POSCAR:
```
LaCrNiO6
1.0
4.2316 0.0000 0.0000
-2.0985 4.7392 0.0000
-2.1039 -1.2208 6.1142
La Cr Ni O
1 1 1 6
Cartesian
0.0000 0.0000 0.0000
0.4084 2.9621 2.6449
0.1435 0.2659 3.7310
-2.1784 3.1912 2.6818
0.1952 1.1897 2.1096
-0.0191 3.4498 1.0811
0.0205 -0.4009 5.4533
0.0168 2.0203 4.2592
2.0812 -0.3545 3.6114
```